A relaxed V2AgIrO8 crystal. Source: the Alexandria database, functional PBE+U.

## Properties
- total energy (eV/f.u.) = -80.3
- mass density (g cm⁻³) = 4.92
- density of states at the Fermi level (states/eV/atom) = 0.537
- crystal system = trigonal
- total magnetization (μB/cell) = 0.75

a b c (Å): 5.6007 5.6007 6.5811
angles (deg): 90.00 90.00 120.00
Fractional coordinates of all 12 atoms:
Ir (0.0000, 0.0000, 0.5000)
O (0.3200, 0.1608, 0.3227)
O (0.1608, 0.8408, 0.6773)
O (0.8392, 0.1592, 0.3227)
O (0.6667, 0.3333, 0.9832)
O (0.3333, 0.6667, 0.0168)
O (0.6800, 0.8392, 0.6773)
O (0.8408, 0.6800, 0.3227)
O (0.1592, 0.3200, 0.6773)
Ag (0.0000, 0.0000, 0.0000)
V (0.3333, 0.6667, 0.7662)
V (0.6667, 0.3333, 0.2338)